Entry 1:
Density functional theory data (PBE) for a relaxed Er6SbAs2S3 crystal.

Crystal system = monoclinic
DOS at the Fermi energy = 4.2 states/eV/f.u.
ΔE_f (raw) = -19.9 eV/f.u.

Cell: 17.5329 4.0306 8.0462 Å, 90.00 102.87 90.00°
Space group C2/m (No. 12)
Inequivalent atoms, fractional coordinates:
Er 0.9998 0.0000 0.2305 (multiplicity 4)
Er 0.1673 0.5000 0.0831 (multiplicity 4)
Er 0.1736 0.5000 0.5881 (multiplicity 4)
Sb 0.0000 0.5000 0.5000 (multiplicity 2)
As 0.1670 0.0000 0.8336 (multiplicity 4)
S 0.0000 0.5000 0.0000 (multiplicity 2)
S 0.1652 0.0000 0.3320 (multiplicity 4)



Entry 2:
Density functional theory data (PBE) for a relaxed Er8As3Se4S crystal.

Crystal system = trigonal
DOS at the Fermi energy = 6.2 states/eV/f.u.
ΔE_f (raw) = -27.4 eV/f.u.

Cell: 8.0540 8.0540 19.8820 Å, 90.00 90.00 120.00°
Space group R-3m (No. 166, hexagonal axes)
Inequivalent atoms, fractional coordinates:
Er 0.0000 0.0000 0.2460 (multiplicity 6)
Er 0.0043 0.5022 0.2448 (multiplicity 18)
As 0.0000 0.5000 0.5000 (multiplicity 9)
Se 0.0000 0.0000 0.0000 (multiplicity 3)
Se 0.0000 0.5000 0.0000 (multiplicity 9)
S 0.0000 0.0000 0.5000 (multiplicity 3)



Entry 3:
Density functional theory data (PBE) for a relaxed Er6As3Se2S crystal.

Crystal system = monoclinic
DOS at the Fermi energy = 4.2 states/eV/f.u.
ΔE_f (raw) = -20.4 eV/f.u.

Cell: 17.6040 4.0385 8.0681 Å, 90.00 103.21 90.00°
Space group C2/m (No. 12)
Inequivalent atoms, fractional coordinates:
Er 0.0031 0.0000 0.2529 (multiplicity 4)
Er 0.1634 0.5000 0.0905 (multiplicity 4)
Er 0.1650 0.5000 0.5749 (multiplicity 4)
As 0.0000 0.5000 0.0000 (multiplicity 2)
As 0.1681 0.0000 0.3345 (multiplicity 4)
Se 0.1665 0.0000 0.8337 (multiplicity 4)
S 0.0000 0.5000 0.5000 (multiplicity 2)



Entry 4:
Density functional theory data (PBE) for a relaxed Er3AsSeS crystal.

Crystal system = monoclinic
DOS at the Fermi energy = 3.9 states/eV/f.u.
ΔE_f (raw) = -8.3 eV/f.u.

Cell: 6.7210 14.0677 6.6561 Å, 90.00 109.52 90.00°
Space group C2/c (No. 15)
Inequivalent atoms, fractional coordinates:
Er 0.0000 0.2452 0.2500 (multiplicity 4)
Er 0.2473 0.0770 0.0011 (multiplicity 8)
As 0.0000 0.4353 0.2500 (multiplicity 4)
Se 0.0000 0.2494 0.7500 (multiplicity 4)
S 0.0000 0.0566 0.2500 (multiplicity 4)